# 1
VASP calculation (PBE) on an optimized crystal structure of Ta2BeW.

Unit cell a=9.3733 b=9.3733 c=9.3733 alpha=17.41 beta=17.41 gamma=17.41
Atoms (fractional coordinates):
Be  0.7526  0.7526  0.7526
W  0.4910  0.4910  0.4910
Ta  0.0085  0.0085  0.0085
Ta  0.2479  0.2479  0.2479

Output
As for the energy relative to the elements: 0.376 eV per atom. The calculation puts the uncorrected energy at -9.720 eV per atom. As for the size of the total moment: 0.00 μB/f.u. The space group is R3m. The density of states at the Fermi level is 3.1 states/eV/f.u.


# 2
VASP calculation (PBE) on an optimized crystal structure of Sc4Ti.

Unit cell a=5.0147 b=5.0147 c=5.0147 alpha=90.00 beta=90.00 gamma=90.00
Atoms (fractional coordinates):
Sc  0.0000  0.0000  0.0000
Sc  0.5000  0.0000  0.5000
Sc  0.0000  0.5000  0.5000
Sc  0.5000  0.5000  0.0000
Ti  0.5000  0.5000  0.5000

Output
As for the energy relative to the elements: 0.530 eV per atom. The calculation puts the uncorrected energy at -6.114 eV per atom. As for the size of the total moment: 0.00 μB/f.u. The space group is Pm-3m. The density of states at the Fermi level is 7.5 states/eV/f.u.


# 3
VASP calculation (PBE) on an optimized crystal structure of Tm2Hg2Pb3.

Unit cell a=3.7116 b=7.0035 c=8.0756 alpha=107.34 beta=90.00 gamma=105.37
Atoms (fractional coordinates):
Tm  0.1251  0.2502  0.4323
Tm  0.8749  0.7498  0.5677
Hg  0.5725  0.1451  0.7161
Hg  0.4275  0.8549  0.2839
Pb  0.2809  0.5618  0.8327
Pb  0.0000  0.0000  0.0000
Pb  0.7191  0.4382  0.1673

Output
As for the energy relative to the elements: -0.204 eV per atom. The calculation puts the uncorrected energy at -3.157 eV per atom. As for the size of the total moment: 0.00 μB/f.u. The space group is C2/m. The density of states at the Fermi level is 4.0 states/eV/f.u.


# 4
VASP calculation (PBE) on an optimized crystal structure of LaPrHg.

Unit cell a=5.2518 b=5.2518 c=8.4535 alpha=89.79 beta=111.24 gamma=115.02
Atoms (fractional coordinates):
La  0.5469  0.4258  0.9726
La  0.9379  0.5477  0.4857
Pr  0.0598  0.1428  0.2026
Pr  0.6699  0.0217  0.6916
Hg  0.1381  0.7490  0.8871
Hg  0.4649  0.8218  0.2866

Output
As for the energy relative to the elements: -0.222 eV per atom. The calculation puts the uncorrected energy at -3.558 eV per atom. As for the size of the total moment: 0.00 μB/f.u. The space group is Cm. The density of states at the Fermi level is 2.7 states/eV/f.u.


# 5
VASP calculation (PBE) on an optimized crystal structure of CsHoTl2.

Unit cell a=3.8464 b=3.8464 c=11.3918 alpha=80.28 beta=80.28 gamma=60.00
Atoms (fractional coordinates):
Cs  0.5000  0.5000  0.5000
Tl  0.7381  0.7381  0.7856
Tl  0.2619  0.2619  0.2144
Ho  0.0000  0.0000  0.0000

Output
As for the energy relative to the elements: 0.004 eV per atom. The calculation puts the uncorrected energy at -2.537 eV per atom. As for the size of the total moment: 0.00 μB/f.u. The space group is R-3m. The density of states at the Fermi level is 4.4 states/eV/f.u.


# 6
VASP calculation (PBE) on an optimized crystal structure of TaTeIr.

Unit cell a=4.4829 b=4.4829 c=4.4829 alpha=60.00 beta=60.00 gamma=60.00
Atoms (fractional coordinates):
Ir  0.7500  0.7500  0.7500
Ta  0.0000  0.0000  0.0000
Te  0.5000  0.5000  0.5000

Output
As for the uncorrected formation energy: 0.160 eV/atom. The calculation puts the uncorrected energy at -7.792 eV per atom. As for the size of the total moment: 0.00 μB/f.u. The space group is F-43m. The density of states at the Fermi level is 4.7 states/eV/f.u.


# 7
VASP calculation (PBE) on an optimized crystal structure of ErMgTlHg.

Unit cell a=5.1455 b=5.1455 c=5.1455 alpha=60.00 beta=60.00 gamma=60.00
Atoms (fractional coordinates):
Mg  0.7500  0.7500  0.7500
Tl  0.0000  0.0000  0.0000
Hg  0.5000  0.5000  0.5000
Er  0.2500  0.2500  0.2500

Output
As for the energy relative to the elements: -0.336 eV per atom. The calculation puts the uncorrected energy at -2.543 eV per atom. As for the size of the total moment: 0.00 μB/f.u. The space group is F-43m. The density of states at the Fermi level is 0.4 states/eV/f.u.


# 8
VASP calculation (PBE) on an optimized crystal structure of Tl2CrIn.

Unit cell a=7.6382 b=7.6382 c=4.6972 alpha=72.06 beta=72.06 gamma=23.87
Atoms (fractional coordinates):
Cr  0.2500  0.2500  0.2500
In  0.7500  0.7500  0.7500
Tl  0.9317  0.9317  0.0685
Tl  0.5683  0.5683  0.4315

Output
As for the energy relative to the elements: 0.328 eV per atom. The calculation puts the uncorrected energy at -3.946 eV per atom. As for the size of the total moment: 3.48 μB/f.u. The space group is Immm. The density of states at the Fermi level is 2.2 states/eV/f.u.


# 9
VASP calculation (PBE) on an optimized crystal structure of AlZnIrAu.

Unit cell a=4.3923 b=4.3923 c=4.3923 alpha=60.00 beta=60.00 gamma=60.00
Atoms (fractional coordinates):
Zn  0.2500  0.2500  0.2500
Ir  0.0000  0.0000  0.0000
Au  0.5000  0.5000  0.5000
Al  0.7500  0.7500  0.7500

Output
As for the energy relative to the elements: -0.348 eV per atom. The calculation puts the uncorrected energy at -4.637 eV per atom. As for the size of the total moment: 0.00 μB/f.u. The space group is F-43m. The density of states at the Fermi level is 2.4 states/eV/f.u.


# 10
VASP calculation (PBE) on an optimized crystal structure of CdCuPt3.

Unit cell a=6.6146 b=4.6624 c=5.6104 alpha=90.00 beta=90.00 gamma=69.37
Atoms (fractional coordinates):
Cd  0.9893  0.3782  0.0523
Cd  0.5713  0.5875  0.5523
Cu  0.7888  0.9786  0.5525
Cu  0.7718  0.9872  0.0527
Pt  0.0273  0.3591  0.5523
Pt  0.5333  0.6066  0.0523
Pt  0.4163  0.1650  0.8074
Pt  0.4162  0.1650  0.2972
Pt  0.1443  0.8007  0.3074
Pt  0.1443  0.8007  0.7972

Output
As for the energy relative to the elements: -0.132 eV per atom. The calculation puts the uncorrected energy at -4.759 eV per atom. As for the size of the total moment: 0.00 μB/f.u. The space group is Cmcm. The density of states at the Fermi level is 3.4 states/eV/f.u.


# 11
VASP calculation (PBE) on an optimized crystal structure of TaZn2Mo.

Unit cell a=4.2131 b=2.7219 c=5.9722 alpha=65.41 beta=90.00 gamma=90.00
Atoms (fractional coordinates):
Mo  0.5000  0.2500  0.2500
Ta  0.5000  0.7500  0.7500
Zn  0.0000  0.9957  0.0068
Zn  0.0000  0.5043  0.4932

Output
As for the energy relative to the elements: 0.048 eV per atom. The calculation puts the uncorrected energy at -6.260 eV per atom. As for the size of the total moment: 0.00 μB/f.u. The space group is P2/m. The density of states at the Fermi level is 1.7 states/eV/f.u.


# 12
VASP calculation (PBE) on an optimized crystal structure of Dy3ThSb3.

Unit cell a=9.1157 b=9.1157 c=8.0972 alpha=55.74 beta=55.74 gamma=60.00
Atoms (fractional coordinates):
Dy  0.1854  0.6487  0.2509
Dy  0.9150  0.1854  0.2509
Dy  0.6487  0.9150  0.2509
Dy  0.3513  0.0850  0.7491
Dy  0.0850  0.8146  0.7491
Dy  0.8146  0.3513  0.7491
Th  0.3332  0.3332  0.0005
Th  0.6668  0.6668  0.9995
Sb  0.4625  0.7050  0.7514
Sb  0.7050  0.0810  0.7514
Sb  0.0810  0.4625  0.7514
Sb  0.9190  0.5375  0.2486
Sb  0.2950  0.9190  0.2486
Sb  0.5375  0.2950  0.2486

Output
As for the uncorrected formation energy: -0.819 eV/atom. The calculation puts the uncorrected energy at -5.618 eV per atom. As for the size of the total moment: 0.00 μB/f.u. The space group is R-3. The density of states at the Fermi level is 4.3 states/eV/f.u.


Question: Among the records above, which one has the highest uncorrected energy?
Answer: CsHoTl2